Cs2InAgBr6: optimized geometry, PBE-GGA.

The space group is C2/m (No. 12) and the conventional cell measures 13.652, 7.888 and 7.883 Å, with angles of 90.00, 125.23 and 90.00 degrees. Symmetry generates all atoms from Cs at (0.250, 0.000, 0.250), In at (0.000, 0.000, 0.500), Ag at (0.000, 0.500, 0.000), Br at (0.001, 0.245, 0.255) and Br at (0.245, 0.000, 0.746).

Its mass density is 4.6 g/cm³. Its calculated total energy is -2.875 eV per atom.